Zn2CuOs after structural relaxation, computed with PBE.

a = 9.862 Å, b = 2.658 Å, c = 4.680 Å
α = 90.00°, β = 116.53°, γ = 90.00°
Space group Cm (No. 8)
Symmetry-distinct sites (fractional):
Zn  0.000  0.000  0.000
Zn  0.243  0.000  0.573
Cu  0.494  0.000  0.500
Os  0.250  0.500  0.075

The density of states at the Fermi level is 2.18 states/eV/f.u. As for the formation enthalpy at 0 K: 111.9 meV/atom.